Entry 1:
Ca3PmZn8 | PBE | relaxed

abc: 5.561 5.561 9.639
angles: 73.23 73.23 60.00
Fractional positions:
Zn  0.188  0.188  0.437
Zn  0.436  0.938  0.189
Zn  0.436  0.436  0.189
Zn  0.938  0.436  0.189
Zn  0.937  0.937  0.687
Zn  0.937  0.439  0.687
Zn  0.439  0.937  0.687
Zn  0.688  0.688  0.936
Ca  0.001  0.001  0.998
Ca  0.500  0.500  0.501
Ca  0.374  0.374  0.877
Pm  0.876  0.876  0.373

total magnetization = 0.0 Bohr magnetons per cell
energy above the lowest structure with this stoichiometry = 0.007 eV per atom
VASP energy = -24.2 eV/f.u.
calculated formation energy = -6.2 kcal/mol of atoms


Entry 2:
Ca3PmZn8 | PBE | relaxed

abc: 5.632 5.632 8.820
angles: 90.00 90.00 120.00
Fractional positions:
Zn  0.333  0.667  0.001
Zn  0.499  0.501  0.749
Zn  0.666  0.833  0.251
Zn  0.167  0.833  0.251
Zn  0.002  0.501  0.749
Zn  0.333  0.667  0.501
Zn  0.167  0.334  0.251
Zn  0.499  0.998  0.749
Pm  0.000  0.000  0.556
Ca  0.667  0.333  0.443
Ca  0.000  0.000  0.942
Ca  0.667  0.333  0.058

total magnetization = 0.0 Bohr magnetons per cell
energy above the lowest structure with this stoichiometry = 0.000 eV per atom
VASP energy = -24.3 eV/f.u.
calculated formation energy = -6.4 kcal/mol of atoms


> Among the records above, which one has the lowest VASP energy?

number 2


Copy entry 1 word for word.
Ca3PmZn8 | PBE | relaxed

abc: 5.561 5.561 9.639
angles: 73.23 73.23 60.00
Fractional positions:
Zn  0.188  0.188  0.437
Zn  0.436  0.938  0.189
Zn  0.436  0.436  0.189
Zn  0.938  0.436  0.189
Zn  0.937  0.937  0.687
Zn  0.937  0.439  0.687
Zn  0.439  0.937  0.687
Zn  0.688  0.688  0.936
Ca  0.001  0.001  0.998
Ca  0.500  0.500  0.501
Ca  0.374  0.374  0.877
Pm  0.876  0.876  0.373

total magnetization = 0.0 Bohr magnetons per cell
energy above the lowest structure with this stoichiometry = 0.007 eV per atom
VASP energy = -24.2 eV/f.u.
calculated formation energy = -6.2 kcal/mol of atoms


> Among the records above, which one has the highest energy above the lowest structure with this stoichiometry?

number 1